Version P
First-principles (PBE) data for a relaxed Li2GeHPt crystal, as listed in the Alexandria database.

The magnetization comes out at 0.00 μB/atom.

Structure (CIF):
```
data_Li2GeHPt
_chemical_formula_sum 'Li2 Ge1 H1 Pt1'
_space_group_name_H-M_alt 'P 4/m m m'
_space_group_IT_number 123
_space_group_name_Hall '-P 4 2'
_cell_length_a 3.7807
_cell_length_b 3.7807
_cell_length_c 4.1109
_cell_angle_alpha 90.00
_cell_angle_beta 90.00
_cell_angle_gamma 90.00
loop_
_atom_site_label
_atom_site_fract_x
_atom_site_fract_y
_atom_site_fract_z
Li1 0.0000 0.5000 0.0000
Ge1 0.0000 0.0000 0.5000
H1 0.0000 0.0000 0.0000
Pt1 0.5000 0.5000 0.5000
```

***

Version Q
First-principles (PBE) data for a relaxed Li2GeHPt crystal, as listed in the Alexandria database.

The magnetization comes out at 0.00 μB/atom.

Structure (CIF):
```
data_Li2GeHPt
_chemical_formula_sum 'Li2 Ge1 H1 Pt1'
_space_group_name_H-M_alt 'P 4/m m m'
_space_group_IT_number 123
_space_group_name_Hall '-P 4 2'
_cell_length_a 3.9691
_cell_length_b 3.9691
_cell_length_c 3.7274
_cell_angle_alpha 90.00
_cell_angle_beta 90.00
_cell_angle_gamma 90.00
loop_
_atom_site_label
_atom_site_fract_x
_atom_site_fract_y
_atom_site_fract_z
Li1 0.0000 0.5000 0.0000
Ge1 0.0000 0.0000 0.5000
H1 0.5000 0.5000 0.0000
Pt1 0.5000 0.5000 0.5000
```

***

version Q wins, 61 meV per atom ahead of the next structure.

***

Version P
First-principles (PBE) data for a relaxed LiSnGeH2 crystal, as listed in the Alexandria database.

The magnetization comes out at 0.00 μB/atom.

Structure (CIF):
```
data_LiSnGeH2
_chemical_formula_sum 'Li1 Sn1 Ge1 H2'
_space_group_name_H-M_alt 'P 4/m m m'
_space_group_IT_number 123
_space_group_name_Hall '-P 4 2'
_cell_length_a 3.8361
_cell_length_b 3.8361
_cell_length_c 5.7635
_cell_angle_alpha 90.00
_cell_angle_beta 90.00
_cell_angle_gamma 90.00
loop_
_atom_site_label
_atom_site_fract_x
_atom_site_fract_y
_atom_site_fract_z
Li1 0.0000 0.0000 0.0000
Sn1 0.0000 0.0000 0.5000
Ge1 0.5000 0.5000 0.0000
H1 0.0000 0.5000 0.5000
```

***

Version Q
First-principles (PBE) data for a relaxed LiSnGeH2 crystal, as listed in the Alexandria database.

The magnetization comes out at 0.00 μB/atom.

Structure (CIF):
```
data_LiSnGeH2
_chemical_formula_sum 'Li1 Sn1 Ge1 H2'
_space_group_name_H-M_alt 'P 4/m m m'
_space_group_IT_number 123
_space_group_name_Hall '-P 4 2'
_cell_length_a 3.7107
_cell_length_b 3.7107
_cell_length_c 5.8618
_cell_angle_alpha 90.00
_cell_angle_beta 90.00
_cell_angle_gamma 90.00
loop_
_atom_site_label
_atom_site_fract_x
_atom_site_fract_y
_atom_site_fract_z
Li1 0.0000 0.0000 0.0000
Sn1 0.5000 0.5000 0.0000
Ge1 0.5000 0.5000 0.5000
H1 0.0000 0.5000 0.5000
```

***

version Q wins, 234 meV per atom ahead of the next structure.